Entry 1:
First-principles (PBE) data for GeMo4C after structural relaxation, as listed in Alexandria via LeMat-Bulk.

abc: 5.572 5.382 6.099
angles: 90.00 103.78 90.00
Space group P2_1/c (No. 14)
Unique sites:
Ge  0.000  0.000  0.000 (multiplicity 2)
Mo  0.148  0.114  0.389 (multiplicity 4)
Mo  0.413  0.642  0.309 (multiplicity 4)
C  0.500  0.000  0.500 (multiplicity 2)



Entry 2:
First-principles (PBE) data for GeMo2C after structural relaxation, as listed in Alexandria via LeMat-Bulk.

abc: 3.1210 3.1210 19.1705
angles: 90.00 90.00 120.00
Space group R3m (No. 160, hexagonal axes)
Unique sites:
Ge  0.0000  0.0000  0.0000 (multiplicity 3)
Mo  0.0000  0.0000  0.5606 (multiplicity 3)
Mo  0.0000  0.0000  0.7737 (multiplicity 3)
C  0.0000  0.0000  0.1674 (multiplicity 3)

## Properties
ΔE to the lowest computed polymorph, eV per atom: 0.0027



Entry 3:
First-principles (PBE) data for GeMo3C after structural relaxation, as listed in Alexandria via LeMat-Bulk.

abc: 4.147 4.147 4.147
angles: 90.00 90.00 90.00
Space group Pm-3m (No. 221)
Unique sites:
Ge  0.000  0.000  0.000 (multiplicity 1)
Mo  0.000  0.500  0.500 (multiplicity 3)
C  0.500  0.500  0.500 (multiplicity 1)

## Properties
ΔE to the lowest computed polymorph, eV per atom: 0.0000



Entry 4:
First-principles (PBE) data for GeMo2C after structural relaxation, as listed in Alexandria via LeMat-Bulk.

abc: 5.927 5.927 5.927
angles: 90.00 90.00 90.00
Space group Fm-3m (No. 225)
Unique sites:
Ge  0.000  0.000  0.000 (multiplicity 4)
Mo  0.250  0.250  0.250 (multiplicity 8)
C  0.000  0.000  0.500 (multiplicity 4)

## Properties
ΔE to the lowest computed polymorph, eV per atom: 0.8828



Entry 5:
First-principles (PBE) data for GeMoC after structural relaxation, as listed in Alexandria via LeMat-Bulk.

abc: 3.5302 3.5302 24.3608
angles: 90.00 90.00 120.00
Space group R-3m (No. 166, hexagonal axes)
Unique sites:
Ge  0.0000  0.0000  0.1297 (multiplicity 6)
Mo  0.0000  0.0000  0.3759 (multiplicity 6)
C  0.0000  0.0000  0.2877 (multiplicity 6)



Entry 6:
First-principles (PBE) data for Ge3MoC after structural relaxation, as listed in Alexandria via LeMat-Bulk.

abc: 4.869 4.869 4.869
angles: 90.00 90.00 90.00
Space group Pm-3m (No. 221)
Unique sites:
Ge  0.000  0.000  0.500 (multiplicity 3)
Mo  0.000  0.000  0.000 (multiplicity 1)
C  0.500  0.500  0.500 (multiplicity 1)

## Properties
ΔE to the lowest computed polymorph, eV per atom: 0.3762



Entry 7:
First-principles (PBE) data for Ge2MoC after structural relaxation, as listed in Alexandria via LeMat-Bulk.

abc: 6.233 6.233 5.773
angles: 90.00 90.00 90.00
Space group I-42d (No. 122)
Unique sites:
Ge  0.174  0.750  0.125 (multiplicity 8)
Mo  0.000  0.000  0.500 (multiplicity 4)
C  0.000  0.000  0.000 (multiplicity 4)



Entry 8:
First-principles (PBE) data for Ge3MoC after structural relaxation, as listed in Alexandria via LeMat-Bulk.

abc: 4.232 4.232 4.232
angles: 90.00 90.00 90.00
Space group Pm-3m (No. 221)
Unique sites:
Ge  0.000  0.000  0.500 (multiplicity 3)
Mo  0.500  0.500  0.500 (multiplicity 1)
C  0.000  0.000  0.000 (multiplicity 1)

## Properties
ΔE to the lowest computed polymorph, eV per atom: 0.0000



Entry 9:
First-principles (PBE) data for GeMo2C after structural relaxation, as listed in Alexandria via LeMat-Bulk.

abc: 5.130 5.130 10.464
angles: 90.00 90.00 90.00
Space group I-42d (No. 122)
Unique sites:
Ge  0.000  0.000  0.000 (multiplicity 4)
Mo  0.159  0.250  0.625 (multiplicity 8)
C  0.000  0.000  0.500 (multiplicity 4)

## Properties
ΔE to the lowest computed polymorph, eV per atom: 0.7887



Entry 10:
First-principles (PBE) data for GeMo2C after structural relaxation, as listed in Alexandria via LeMat-Bulk.

abc: 3.1036 3.1036 19.6869
angles: 90.00 90.00 120.00
Space group R-3m (No. 166, hexagonal axes)
Unique sites:
Ge  0.0000  0.0000  0.0000 (multiplicity 3)
Mo  0.0000  0.0000  0.2242 (multiplicity 6)
C  0.0000  0.0000  0.5000 (multiplicity 3)

## Properties
ΔE to the lowest computed polymorph, eV per atom: 0.0000



| no. | formation energy from the elements (eV/atom) | total moment (μB per atom) |
| --- | --- | --- |
| 1 | 0.20 | 0.00 |
| 2 | -0.03 | 0.00 |
| 3 | 0.16 | 0.00 |
| 4 | 0.85 | 0.00 |
| 5 | 0.34 | 0.00 |
| 6 | 1.60 | 0.45 |
| 7 | 0.90 | 0.00 |
| 8 | 1.22 | 0.00 |
| 9 | 0.75 | 0.00 |
| 10 | -0.03 | 0.00 |